# PBE with a Hubbard U Ac2NbFeO6, optimized geometry
data_Ac2NbFeO6
_cell_length_a 5.685
_cell_length_b 5.685
_cell_length_c 4.107
_cell_angle_alpha 90.00
_cell_angle_beta 90.00
_cell_angle_gamma 90.00
_symmetry_space_group_name_H-M 'P 1'
_symmetry_Int_Tables_number 1
loop_
_symmetry_equiv_pos_as_xyz
'x,y,z'
loop_
_atom_site_label
_atom_site_type_symbol
_atom_site_fract_x
_atom_site_fract_y
_atom_site_fract_z
Ac1 Ac 0.000 0.500 0.000
Ac2 Ac 0.500 0.000 0.000
Nb1 Nb 0.000 0.000 0.500
Fe1 Fe 0.500 0.500 0.500
O1 O 0.000 0.000 0.000
O2 O 0.252 0.252 0.500
O3 O 0.252 0.748 0.500
O4 O 0.500 0.500 0.000
O5 O 0.748 0.252 0.500
O6 O 0.748 0.748 0.500
# total magnetic moment	1.02	μB per formula unit
# crystal system	tetragonal
# E_tot	-7.84	eV per atom